HfAl3Co: relaxed, GGA-PBE.

E_tot (eV per atom): -5.99
Distance to the lowest polymorph of the same formula (eV per atom): 0.109
Space group: P2_1/c
Total magnetization (μB/atom): 0.000
Energy of formation from the pure elements (eV/atom): -0.34

abc: 5.192 7.821 7.818
angles: 99.23 90.00 90.00
Sites, in units of the cell vectors:
Hf: 0.119 0.788 0.378
Hf: 0.881 0.212 0.622
Hf: 0.619 0.712 0.622
Hf: 0.381 0.288 0.378
Al: 0.833 0.553 0.896
Al: 0.167 0.447 0.104
Al: 0.333 0.947 0.104
Al: 0.667 0.053 0.896
Al: 0.595 0.640 0.212
Al: 0.405 0.360 0.788
Al: 0.095 0.860 0.788
Al: 0.905 0.140 0.212
Al: 0.862 0.445 0.371
Al: 0.138 0.555 0.629
Al: 0.362 0.055 0.629
Al: 0.638 0.945 0.371
Co: 0.640 0.344 0.058
Co: 0.360 0.656 0.942
Co: 0.140 0.156 0.942
Co: 0.860 0.844 0.058